1.
A plane-wave DFT calculation with PBE was carried out for an optimized crystal structure of Rb3SnPb4.

Properties
Total magnetic moment (μB/cell): 0.0
Calculated volume (Å³ per cell): 710.55
E_form (meV per atom): -156
Density of states at the Fermi level (states/eV/f.u.): 2.50

```
16
Lattice="7.123 0.000 0.000 0.000 7.166 0.000 0.000 0.000 13.922" Properties=species:S:1:pos:R:3 pbc="T T T"
Pb 2.262 3.583 12.264
Pb 0.267 1.698 0.000
Rb 3.873 0.000 0.000
Pb 4.860 0.000 8.619
Rb 5.855 3.583 3.517
Rb 5.855 3.583 10.405
Sn 4.900 3.583 0.000
Pb 6.855 1.885 6.961
Pb 0.267 5.468 0.000
Rb 1.268 0.000 3.444
Pb 6.855 5.280 6.961
Rb 3.250 3.583 6.961
Pb 2.262 3.583 1.658
Pb 4.860 0.000 5.303
Sn 2.223 0.000 6.961
Rb 1.268 0.000 10.478
```

2.
A plane-wave DFT calculation with PBE was carried out for an optimized crystal structure of RbSnPb2.

Properties
Total magnetic moment (μB/cell): 0.0
Calculated volume (Å³ per cell): 159.09
E_form (meV per atom): -30
Density of states at the Fermi level (states/eV/f.u.): 2.65

```
4
Lattice="5.262 0.000 0.000 2.631 4.557 0.000 2.631 1.519 6.635" Properties=species:S:1:pos:R:3 pbc="T T T"
Pb 7.893 4.557 4.247
Sn 5.262 3.038 3.318
Rb 0.000 0.000 0.000
Pb 2.631 1.519 2.388
```

3.
A plane-wave DFT calculation with PBE was carried out for an optimized crystal structure of Rb2Sn2Pb.

Properties
Distance to the lowest polymorph of the same formula (meV/atom): 0.0
Total magnetic moment (μB/cell): 0.0
Calculated volume (Å³ per cell): 416.45
E_form (meV per atom): -129
Density of states at the Fermi level (states/eV/f.u.): 2.27

```
10
Lattice="7.445 0.000 0.000 -3.723 5.892 0.103 0.000 -2.553 9.449" Properties=species:S:1:pos:R:3 pbc="T T T"
Pb 6.866 -0.638 2.362
Rb 2.703 1.346 1.362
Rb -1.020 3.269 3.466
Pb 0.579 -1.915 7.087
Rb 1.020 1.992 8.190
Sn 2.645 2.894 4.742
Sn -1.078 1.721 0.086
Sn 1.078 0.444 4.810
Rb 4.743 0.069 6.087
Sn 4.800 1.618 9.467
```